First-principles (PBE) data for a relaxed K2TlHgI6 crystal, as listed in Alexandria.

The energy relative to the lowest polymorph listed for this composition comes out at 0 meV per atom. The calculation puts the formation energy from raw total energies at -0.747 eV per atom.

The space group is P2_1/c (No. 14) and the conventional cell measures 8.269, 8.735 and 14.459 Å, with angles of 90.00, 124.60 and 90.00 degrees. The inequivalent atoms are K at (0.219, 0.087, 0.250), Tl at (0.000, 0.000, 0.500), Hg at (0.500, 0.000, 0.000), I at (0.149, 0.189, 0.949), I at (0.257, 0.702, 0.946) and I at (0.366, 0.021, 0.758).